[1]
{"formula": "Pm2PaTe", "functional": "PBE", "state": "optimized geometry", "lattice_angstrom": [[4.233, 0.000, 0.000], [0.000, 5.117, 0.000], [0.000, 0.000, 5.117]], "species": ["Pm", "Pm", "Te", "Pa"], "fractional_positions": [[0.000, 0.000, 0.500], [0.000, 0.500, 0.000], [0.500, 0.000, 0.000], [0.500, 0.500, 0.500]], "polymorph_energy_ev_per_atom": 0.084, "space_group": "P4/mmm", "m_tot_mub_per_cell": 0.1, "e_form_raw_mev_per_atom": -282}

=====

[2]
{"formula": "PmPa2Te5", "functional": "PBE", "state": "optimized geometry", "lattice_angstrom": [[-0.600, -6.195, -5.218], [7.633, 1.319, -2.444], [-1.085, -2.122, 8.965]], "species": ["Pa", "Pa", "Pa", "Pa", "Te", "Te", "Te", "Te", "Te", "Te", "Te", "Te", "Te", "Te", "Pm", "Pm"], "fractional_positions": [[0.140, 0.360, 0.000], [0.640, 0.140, 0.000], [0.360, 0.860, 0.000], [0.860, 0.640, 0.000], [0.514, 0.691, 0.705], [0.691, 0.191, 0.705], [0.000, 0.000, 0.000], [0.014, 0.514, 0.705], [0.309, 0.809, 0.295], [0.500, 0.500, 0.000], [0.486, 0.309, 0.295], [0.191, 0.014, 0.705], [0.986, 0.486, 0.295], [0.809, 0.986, 0.295], [0.750, 0.750, 0.500], [0.250, 0.250, 0.500]], "space_group": "I4/mcm", "m_tot_mub_per_cell": 6.0, "e_form_raw_mev_per_atom": -982}

=====

[3]
{"formula": "Pm2Pa3Te8", "functional": "PBE", "state": "optimized geometry", "lattice_angstrom": [[7.277, 0.000, 0.363], [0.000, 8.586, 0.000], [-2.536, -4.293, 7.534]], "species": ["Pm", "Pm", "Pa", "Pa", "Pa", "Te", "Te", "Te", "Te", "Te", "Te", "Te", "Te"], "fractional_positions": [[0.676, 0.752, 0.503], [0.324, 0.248, 0.497], [0.500, 0.000, 0.000], [0.000, 0.766, 0.000], [0.000, 0.234, 0.000], [0.589, 0.133, 0.757], [0.902, 0.132, 0.263], [0.098, 0.868, 0.737], [0.589, 0.624, 0.757], [0.898, 0.607, 0.214], [0.102, 0.393, 0.786], [0.411, 0.376, 0.243], [0.411, 0.867, 0.243]], "space_group": "C2/m", "m_tot_mub_per_cell": 4.9, "e_form_raw_mev_per_atom": -951}

=====

[4]
{"formula": "PmPa3Te6", "functional": "PBE", "state": "optimized geometry", "lattice_angstrom": [[4.397, 0.000, 0.000], [0.000, 9.608, -0.032], [0.000, -3.052, 9.111]], "species": ["Te", "Te", "Te", "Te", "Te", "Te", "Pa", "Pa", "Pa", "Pm"], "fractional_positions": [[0.500, 0.346, 0.654], [0.000, 0.901, 0.667], [0.000, 0.667, 0.901], [0.000, 0.333, 0.099], [0.000, 0.099, 0.333], [0.500, 0.654, 0.346], [0.500, 0.500, 0.000], [0.000, 0.000, 0.000], [0.500, 0.000, 0.500], [0.000, 0.500, 0.500]], "space_group": "Cmmm", "m_tot_mub_per_cell": 5.2, "e_form_raw_mev_per_atom": -534}

=====

[5]
{"formula": "PmPa4Te8", "functional": "PBE", "state": "optimized geometry", "lattice_angstrom": [[-3.506, -3.304, -7.353], [2.151, -8.104, -2.639], [-5.908, -6.492, 0.479]], "species": ["Te", "Te", "Te", "Te", "Te", "Te", "Te", "Te", "Pm", "Pa", "Pa", "Pa", "Pa"], "fractional_positions": [[0.611, 0.611, 0.611], [0.611, 0.168, 0.611], [0.113, 0.113, 0.660], [0.113, 0.113, 0.113], [0.611, 0.611, 0.168], [0.168, 0.611, 0.611], [0.660, 0.113, 0.113], [0.113, 0.660, 0.113], [0.750, 0.750, 0.750], [0.355, 0.355, 0.355], [0.934, 0.355, 0.355], [0.355, 0.934, 0.355], [0.355, 0.355, 0.934]], "space_group": "F-43m", "m_tot_mub_per_cell": 4.9, "e_form_raw_mev_per_atom": -760}

=====

[6]
{"formula": "Pm2PaTe4", "functional": "PBE", "state": "optimized geometry", "lattice_angstrom": [[4.281, 0.000, 0.000], [-2.141, 7.352, 0.000], [0.000, 0.000, 15.093]], "species": ["Pa", "Pa", "Te", "Te", "Te", "Te", "Te", "Te", "Te", "Te", "Pm", "Pm", "Pm", "Pm"], "fractional_positions": [[0.377, 0.753, 0.250], [0.623, 0.247, 0.750], [0.033, 0.066, 0.250], [0.220, 0.441, 0.628], [0.500, 0.000, 0.000], [0.220, 0.441, 0.872], [0.780, 0.559, 0.128], [0.967, 0.934, 0.750], [0.780, 0.559, 0.372], [0.500, 0.000, 0.500], [0.136, 0.272, 0.433], [0.864, 0.728, 0.567], [0.136, 0.272, 0.067], [0.864, 0.728, 0.933]], "space_group": "Cmcm", "m_tot_mub_per_cell": 3.2, "e_form_raw_mev_per_atom": -1114}

=====

[7]
{"formula": "Pm3PaTl3Te8", "functional": "PBE", "state": "optimized geometry", "lattice_angstrom": [[9.005, 0.000, 0.000], [-4.503, 7.798, -0.032], [0.000, -5.166, 8.273]], "species": ["Te", "Te", "Te", "Te", "Te", "Te", "Te", "Te", "Pa", "Tl", "Tl", "Tl", "Pm", "Pm", "Pm"], "fractional_positions": [[0.740, 0.480, 0.720], [0.260, 0.520, 0.280], [0.235, 0.980, 0.715], [0.745, 0.980, 0.715], [0.255, 0.020, 0.285], [0.235, 0.470, 0.715], [0.765, 0.530, 0.285], [0.765, 0.020, 0.285], [0.000, 0.000, 0.500], [0.000, 0.500, 0.000], [0.000, 0.000, 0.000], [0.500, 0.500, 0.000], [0.500, 0.000, 0.500], [0.000, 0.500, 0.500], [0.500, 0.500, 0.500]], "space_group": "R-3m", "m_tot_mub_per_cell": 1.1, "e_form_raw_mev_per_atom": -1015}

=====

[8]
{"formula": "PmThPa", "functional": "PBE", "state": "optimized geometry", "lattice_angstrom": [[-3.158, 0.401, -1.100], [-1.910, -2.510, 4.570], [0.716, 5.506, -0.050]], "species": ["Pa", "Pm", "Th"], "fractional_positions": [[0.166, 0.333, 0.667], [0.167, 0.000, 0.000], [0.667, 0.667, 0.333]], "polymorph_energy_ev_per_atom": 0.000, "ef_ev_per_atom": 0.290, "space_group": "P-6m2", "m_tot_mub_per_cell": 0.0}

=====

[9]
{"formula": "PmThPa", "functional": "PBE", "state": "optimized geometry", "lattice_angstrom": [[-0.302, -3.397, 2.253], [-1.650, -1.964, -3.183], [5.850, 1.184, -1.138]], "species": ["Th", "Pm", "Pa"], "fractional_positions": [[0.942, 0.942, 0.884], [0.622, 0.622, 0.244], [0.286, 0.286, 0.572]], "polymorph_energy_ev_per_atom": 0.030, "ef_ev_per_atom": 0.320, "space_group": "I4mm", "m_tot_mub_per_cell": 0.0}

=====

[10]
{"formula": "PmThPa", "functional": "PBE", "state": "optimized geometry", "lattice_angstrom": [[-6.005, 2.422, 2.012], [0.564, -6.233, -2.608], [1.472, -3.435, 8.529]], "species": ["Pm", "Pm", "Pm", "Pm", "Th", "Th", "Th", "Th", "Pa", "Pa", "Pa", "Pa"], "fractional_positions": [[0.000, 0.000, 0.263], [0.810, 0.634, 0.500], [0.366, 0.190, 0.500], [0.000, 0.000, 0.737], [0.177, 0.823, 0.000], [0.814, 0.186, 0.500], [0.179, 0.351, 0.000], [0.649, 0.821, 0.000], [0.676, 0.324, 0.146], [0.676, 0.324, 0.854], [0.326, 0.674, 0.678], [0.326, 0.674, 0.322]], "polymorph_energy_ev_per_atom": 0.190, "ef_ev_per_atom": 0.480, "space_group": "Amm2", "m_tot_mub_per_cell": 1.4}

=====

[11]
{"formula": "PmTmThPa", "functional": "PBE", "state": "optimized geometry", "lattice_angstrom": [[5.551, 0.000, 0.000], [2.775, 4.807, 0.000], [2.775, 1.602, 4.532]], "species": ["Pa", "Tm", "Pm", "Th"], "fractional_positions": [[0.750, 0.750, 0.750], [0.250, 0.250, 0.250], [0.500, 0.500, 0.500], [0.000, 0.000, 0.000]], "ef_ev_per_atom": 0.354, "space_group": "F-43m", "m_tot_mub_per_cell": 0.1}

=====

[12]
{"formula": "PmPaTi2", "functional": "PBE", "state": "optimized geometry", "lattice_angstrom": [[3.668, 0.000, 0.000], [0.000, 3.668, 0.000], [0.000, 0.000, 7.005]], "species": ["Pm", "Pa", "Ti", "Ti"], "fractional_positions": [[0.500, 0.500, 0.500], [0.500, 0.500, 0.000], [0.000, 0.000, 0.805], [0.000, 0.000, 0.195]], "ef_ev_per_atom": 0.148, "space_group": "P4/mmm", "m_tot_mub_per_cell": 0.0}

=====

[13]
{"formula": "Pm2PaTi", "functional": "PBE", "state": "optimized geometry", "lattice_angstrom": [[-0.360, -3.240, -0.517], [1.151, -2.163, 2.212], [-9.983, -1.551, 6.140]], "species": ["Pm", "Pm", "Ti", "Pa"], "fractional_positions": [[0.915, 0.915, 0.255], [0.085, 0.085, 0.745], [0.000, 0.000, 0.000], [0.500, 0.500, 0.500]], "ef_ev_per_atom": 0.488, "space_group": "R-3m", "m_tot_mub_per_cell": 1.7}

=====

[14]
{"formula": "Pm2PaTl", "functional": "PBE", "state": "optimized geometry", "lattice_angstrom": [[-0.660, -3.973, 3.676], [4.195, -1.556, 3.116], [0.026, 1.179, 5.324]], "species": ["Pa", "Pm", "Pm", "Tl"], "fractional_positions": [[0.000, 0.000, 0.000], [0.250, 0.250, 0.250], [0.750, 0.750, 0.750], [0.500, 0.500, 0.500]], "polymorph_energy_ev_per_atom": 0.237, "ef_ev_per_atom": 0.221, "space_group": "Fm-3m", "m_tot_mub_per_cell": 0.2}

=====

[15]
{"formula": "Pm2PaTl", "functional": "PBE", "state": "optimized geometry", "lattice_angstrom": [[4.583, 0.000, 0.000], [0.000, 4.981, 0.000], [0.000, 0.000, 4.981]], "species": ["Pm", "Pm", "Pa", "Tl"], "fractional_positions": [[0.000, 0.500, 0.000], [0.000, 0.000, 0.500], [0.500, 0.000, 0.000], [0.500, 0.500, 0.500]], "polymorph_energy_ev_per_atom": 0.073, "ef_ev_per_atom": 0.057, "space_group": "P4/mmm", "m_tot_mub_per_cell": 0.0}

=====

[16]
{"formula": "Pm2PaTl", "functional": "PBE", "state": "optimized geometry", "lattice_angstrom": [[-0.964, 2.584, -2.157], [-2.846, 0.573, 1.958], [4.900, 6.248, 5.293]], "species": ["Pm", "Pm", "Pa", "Tl"], "fractional_positions": [[0.000, 0.000, 0.746], [0.000, 0.000, 0.254], [0.500, 0.500, 0.000], [0.500, 0.500, 0.500]], "polymorph_energy_ev_per_atom": 0.000, "ef_ev_per_atom": -0.016, "space_group": "P4/mmm", "m_tot_mub_per_cell": 0.5}

=====

[17]
{"formula": "Pm2PaTl", "functional": "PBE", "state": "optimized geometry", "lattice_angstrom": [[-1.694, 0.762, 2.936], [-3.436, 0.508, -0.060], [-3.487, -11.360, 2.992]], "species": ["Tl", "Pm", "Pm", "Pa"], "fractional_positions": [[0.000, 0.000, 0.000], [0.909, 0.909, 0.272], [0.091, 0.091, 0.728], [0.500, 0.500, 0.500]], "polymorph_energy_ev_per_atom": 0.195, "ef_ev_per_atom": 0.178, "space_group": "R-3m", "m_tot_mub_per_cell": 0.0}

=====

[18]
{"formula": "Pm2TmPa", "functional": "PBE", "state": "optimized geometry", "lattice_angstrom": [[3.361, 0.000, 0.000], [1.680, 2.911, 0.000], [1.680, 0.970, 12.348]], "species": ["Pa", "Pm", "Pm", "Tm"], "fractional_positions": [[0.000, 0.000, 0.000], [0.913, 0.913, 0.261], [0.087, 0.087, 0.739], [0.500, 0.500, 0.500]], "polymorph_energy_ev_per_atom": 0.132, "ef_ev_per_atom": 0.297, "space_group": "R-3m", "m_tot_mub_per_cell": 0.0}

=====

[19]
{"formula": "Pm2TmPa", "functional": "PBE", "state": "optimized geometry", "lattice_angstrom": [[5.621, 0.000, 0.000], [2.811, 4.868, 0.000], [2.811, 1.623, 4.590]], "species": ["Pm", "Pm", "Pa", "Tm"], "fractional_positions": [[0.250, 0.250, 0.250], [0.750, 0.750, 0.750], [0.000, 0.000, 0.000], [0.500, 0.500, 0.500]], "polymorph_energy_ev_per_atom": 0.225, "ef_ev_per_atom": 0.389, "space_group": "Fm-3m", "m_tot_mub_per_cell": 3.7}

=====

[20]
{"formula": "PmTm2Pa", "functional": "PBE", "state": "optimized geometry", "lattice_angstrom": [[-0.399, 2.216, -2.440], [-2.572, 2.098, 0.067], [5.758, 9.511, 5.440]], "species": ["Pm", "Tm", "Tm", "Pa"], "fractional_positions": [[0.500, 0.500, 0.500], [0.087, 0.087, 0.740], [0.913, 0.913, 0.260], [0.000, 0.000, 0.000]], "polymorph_energy_ev_per_atom": 0.170, "ef_ev_per_atom": 0.291, "space_group": "R-3m", "m_tot_mub_per_cell": 0.0}